This record from the Alexandria database describes CsLiBi2Te4 after structural relaxation. The functional is PBE.

As for the crystal system: orthorhombic. The formation energy without anion corrections is -422 kJ/mol of formula units. The uncorrected energy is -0.1262 Ha/atom.

Structure (CIF):
```
data_CsLiBi2Te4
_cell_length_a 4.614
_cell_length_b 15.729
_cell_length_c 16.273
_cell_angle_alpha 90.00
_cell_angle_beta 90.00
_cell_angle_gamma 90.00
_symmetry_space_group_name_H-M 'C m c m'
_symmetry_Int_Tables_number 63
_symmetry_space_group_name_Hall '-C 2c 2'
loop_
_atom_site_label
_atom_site_fract_x
_atom_site_fract_y
_atom_site_fract_z
_atom_site_occupancy
Cs1 0.000 0.110 0.250 1
Li1 0.000 0.163 0.750 1
Bi1 0.000 0.366 0.062 1
Te1 0.000 0.000 0.000 1
Te2 0.000 0.261 0.605 1
Te3 0.000 0.424 0.250 1
```

---

This record from the Alexandria database describes Ac2SmY5 after structural relaxation. The functional is PBE.

As for the crystal system: orthorhombic. As for the formation energy: 38 meV per atom. The calculation puts the distance to the lowest polymorph of the same formula at 0.00 eV per formula unit. The uncorrected energy is -0.2065 Ha/atom.

Structure (CIF):
```
data_Ac2SmY5
_cell_length_a 10.384
_cell_length_b 14.668
_cell_length_c 7.388
_cell_angle_alpha 90.00
_cell_angle_beta 90.00
_cell_angle_gamma 90.00
_symmetry_space_group_name_H-M 'P b a m'
_symmetry_Int_Tables_number 55
loop_
_symmetry_equiv_pos_as_xyz
'x,y,z'
'-x,-y,-z'
'-x,-y,z'
'x,y,-z'
'x+1/2,-y+1/2,-z'
'-x+1/2,y+1/2,z'
'-x+1/2,y+1/2,-z'
'x+1/2,-y+1/2,z'
loop_
_atom_site_label
_atom_site_fract_x
_atom_site_fract_y
_atom_site_fract_z
_atom_site_occupancy
Ac1 0.000 0.000 0.247 1
Ac2 0.241 0.371 0.500 1
Sm1 0.242 0.372 0.000 1
Y1 0.000 0.500 0.245 1
Y2 0.005 0.749 0.245 1
Y3 0.246 0.624 0.500 1
Y4 0.246 0.626 0.000 1
```

---

This record from the Alexandria database describes BTeCl2 after structural relaxation. The functional is PBE.

As for the crystal system: trigonal. The formation energy without anion corrections is 70 kJ/mol of formula units. The calculation puts the distance to the lowest polymorph of the same formula at 0.00 eV per formula unit. The uncorrected energy is -0.1175 Ha/atom.

Structure (CIF):
```
data_BTeCl2
_cell_length_a 3.3312
_cell_length_b 3.3312
_cell_length_c 30.5101
_cell_angle_alpha 90.00
_cell_angle_beta 90.00
_cell_angle_gamma 120.00
_symmetry_space_group_name_H-M 'R -3 m'
_symmetry_Int_Tables_number 166
_symmetry_space_group_name_Hall '-R 3 2"'
loop_
_atom_site_label
_atom_site_fract_x
_atom_site_fract_y
_atom_site_fract_z
_atom_site_occupancy
B1 0.0000 0.0000 0.0000 1
Te1 0.0000 0.0000 0.5000 1
Cl1 0.0000 0.0000 0.0546 1
```

---

This record from the Alexandria database describes Fe2SnI after structural relaxation. The functional is PBE.

As for the crystal system: cubic. The formation energy without anion corrections is 297 kJ/mol of formula units. The calculation puts the distance to the lowest polymorph of the same formula at 0.00 eV per formula unit. The uncorrected energy is -0.1782 Ha/atom.

Structure (CIF):
```
data_Fe2SnI
_cell_length_a 6.644
_cell_length_b 6.644
_cell_length_c 6.644
_cell_angle_alpha 90.00
_cell_angle_beta 90.00
_cell_angle_gamma 90.00
_symmetry_space_group_name_H-M 'F m -3 m'
_symmetry_Int_Tables_number 225
_symmetry_space_group_name_Hall '-F 4 2 3'
loop_
_atom_site_label
_atom_site_fract_x
_atom_site_fract_y
_atom_site_fract_z
_atom_site_occupancy
Fe1 0.250 0.250 0.250 1
Sn1 0.000 0.000 0.000 1
I1 0.000 0.000 0.500 1
```

---

This record from the Alexandria database describes Tb5Tl2Co after structural relaxation. The functional is PBE.

As for the crystal system: orthorhombic. As for the formation energy: -260 meV per atom. The calculation puts the distance to the lowest polymorph of the same formula at 0.00 eV per formula unit. The uncorrected energy is -0.1703 Ha/atom.

Structure (CIF):
```
data_Tb5Tl2Co
_cell_length_a 8.102
_cell_length_b 11.675
_cell_length_c 4.647
_cell_angle_alpha 90.00
_cell_angle_beta 90.00
_cell_angle_gamma 90.00
_symmetry_space_group_name_H-M 'P b a m'
_symmetry_Int_Tables_number 55
loop_
_symmetry_equiv_pos_as_xyz
'x,y,z'
'-x,-y,-z'
'-x,-y,z'
'x,y,-z'
'x+1/2,-y+1/2,-z'
'-x+1/2,y+1/2,z'
'-x+1/2,y+1/2,-z'
'x+1/2,-y+1/2,z'
loop_
_atom_site_label
_atom_site_fract_x
_atom_site_fract_y
_atom_site_fract_z
_atom_site_occupancy
Tb1 0.000 0.000 0.000 1
Tb2 0.139 0.304 0.000 1
Tb3 0.180 0.567 0.500 1
Tl1 0.069 0.830 0.500 1
Co1 0.000 0.500 0.000 1
```

---

This record from the Alexandria database describes CaAcTbTl after structural relaxation. The functional is PBE.

As for the crystal system: cubic. As for the formation energy: 66 meV per atom. The uncorrected energy is -0.1180 Ha/atom.

Structure (CIF):
```
data_CaAcTbTl
_cell_length_a 8.149
_cell_length_b 8.149
_cell_length_c 8.149
_cell_angle_alpha 90.00
_cell_angle_beta 90.00
_cell_angle_gamma 90.00
_symmetry_space_group_name_H-M 'F -4 3 m'
_symmetry_Int_Tables_number 216
_symmetry_space_group_name_Hall 'F -4 2 3'
loop_
_atom_site_label
_atom_site_fract_x
_atom_site_fract_y
_atom_site_fract_z
_atom_site_occupancy
Ca1 0.000 0.000 0.000 1
Ac1 0.250 0.250 0.250 1
Tb1 0.000 0.000 0.500 1
Tl1 0.250 0.250 0.750 1
```

---

This record from the Alexandria database describes NaAcI2 after structural relaxation. The functional is PBE.

As for the crystal system: trigonal. The formation energy without anion corrections is -370 kJ/mol of formula units. The calculation puts the distance to the lowest polymorph of the same formula at 0.34 eV per formula unit. The uncorrected energy is -0.1135 Ha/atom.

Structure (CIF):
```
data_NaAcI2
_cell_length_a 4.2165
_cell_length_b 4.2165
_cell_length_c 33.7199
_cell_angle_alpha 90.00
_cell_angle_beta 90.00
_cell_angle_gamma 120.00
_symmetry_space_group_name_H-M 'R -3 m'
_symmetry_Int_Tables_number 166
_symmetry_space_group_name_Hall '-R 3 2"'
loop_
_atom_site_label
_atom_site_fract_x
_atom_site_fract_y
_atom_site_fract_z
_atom_site_occupancy
Na1 0.0000 0.0000 0.0000 1
Ac1 0.0000 0.0000 0.5000 1
I1 0.0000 0.0000 0.0959 1
```

---

This record from the Alexandria database describes LiZnF3 after structural relaxation. The functional is PBE.

As for the crystal system: monoclinic. The formation energy without anion corrections is -1230 kJ/mol of formula units. The calculation puts the distance to the lowest polymorph of the same formula at 0.05 eV per formula unit. The uncorrected energy is -0.1584 Ha/atom.

Structure (CIF):
```
data_LiZnF3
_cell_length_a 5.380
_cell_length_b 3.177
_cell_length_c 7.268
_cell_angle_alpha 90.00
_cell_angle_beta 95.23
_cell_angle_gamma 90.00
_symmetry_space_group_name_H-M 'P 1 21/m 1'
_symmetry_Int_Tables_number 11
loop_
_symmetry_equiv_pos_as_xyz
'x,y,z'
'-x,-y,-z'
'-x,y+1/2,-z'
'x,-y+1/2,z'
loop_
_atom_site_label
_atom_site_fract_x
_atom_site_fract_y
_atom_site_fract_z
_atom_site_occupancy
Li1 0.103 0.250 0.372 1
Zn1 0.412 0.250 0.815 1
F1 0.090 0.250 0.645 1
F2 0.291 0.750 0.971 1
F3 0.430 0.250 0.312 1
```

---

This record from the Alexandria database describes Na2Cd2Pb after structural relaxation. The functional is PBE.

As for the crystal system: tetragonal. As for the formation energy: 5 meV per atom. The calculation puts the distance to the lowest polymorph of the same formula at 0.68 eV per formula unit. The uncorrected energy is -0.0599 Ha/atom.

Structure (CIF):
```
data_Na2Cd2Pb
_cell_length_a 8.985
_cell_length_b 8.985
_cell_length_c 3.387
_cell_angle_alpha 90.00
_cell_angle_beta 90.00
_cell_angle_gamma 90.00
_symmetry_space_group_name_H-M 'P 4/m b m'
_symmetry_Int_Tables_number 127
_symmetry_space_group_name_Hall '-P 4 2ab'
loop_
_atom_site_label
_atom_site_fract_x
_atom_site_fract_y
_atom_site_fract_z
_atom_site_occupancy
Na1 0.135 0.365 0.000 1
Cd1 0.161 0.661 0.500 1
Pb1 0.000 0.000 0.000 1
```

---

This record from the Alexandria database describes CaTc4B4 after structural relaxation. The functional is PBE.

As for the crystal system: tetragonal. As for the formation energy: -345 meV per atom. The uncorrected energy is -0.2992 Ha/atom.

Structure (CIF):
```
data_CaTc4B4
_cell_length_a 7.379
_cell_length_b 7.379
_cell_length_c 4.241
_cell_angle_alpha 90.00
_cell_angle_beta 90.00
_cell_angle_gamma 90.00
_symmetry_space_group_name_H-M 'P 42/n'
_symmetry_Int_Tables_number 86
loop_
_symmetry_equiv_pos_as_xyz
'x,y,z'
'-x,-y,-z'
'-y,x+1/2,z+1/2'
'y,-x+1/2,-z+1/2'
'-x+1/2,-y+1/2,z'
'x+1/2,y+1/2,-z'
'y+1/2,-x,z+1/2'
'-y+1/2,x,-z+1/2'
loop_
_atom_site_label
_atom_site_fract_x
_atom_site_fract_y
_atom_site_fract_z
_atom_site_occupancy
Ca1 0.250 0.250 0.250 1
Tc1 0.117 0.624 0.114 1
B1 0.066 0.925 0.117 1
```

---

This record from the Alexandria database describes Pr2EuGe after structural relaxation. The functional is PBE.

As for the crystal system: tetragonal. As for the formation energy: -306 meV per atom. The calculation puts the distance to the lowest polymorph of the same formula at 0.00 eV per formula unit. The uncorrected energy is -0.2359 Ha/atom.

Structure (CIF):
```
data_Pr2EuGe
_cell_length_a 4.929
_cell_length_b 4.929
_cell_length_c 4.741
_cell_angle_alpha 90.00
_cell_angle_beta 90.00
_cell_angle_gamma 90.00
_symmetry_space_group_name_H-M 'P 4/m m m'
_symmetry_Int_Tables_number 123
_symmetry_space_group_name_Hall '-P 4 2'
loop_
_atom_site_label
_atom_site_fract_x
_atom_site_fract_y
_atom_site_fract_z
_atom_site_occupancy
Pr1 0.000 0.500 0.000 1
Eu1 0.000 0.000 0.500 1
Ge1 0.500 0.500 0.500 1
```

---

This record from the Alexandria database describes Tb2Ga2Ge3 after structural relaxation. The functional is PBE.

As for the crystal system: cubic. As for the formation energy: -420 meV per atom. The uncorrected energy is -0.1685 Ha/atom.

Structure (CIF):
```
data_Tb2Ga2Ge3
_cell_length_a 8.530
_cell_length_b 8.530
_cell_length_c 8.530
_cell_angle_alpha 90.00
_cell_angle_beta 90.00
_cell_angle_gamma 90.00
_symmetry_space_group_name_H-M 'I 21 3'
_symmetry_Int_Tables_number 199
_symmetry_space_group_name_Hall 'I 2b 2c 3'
loop_
_atom_site_label
_atom_site_fract_x
_atom_site_fract_y
_atom_site_fract_z
_atom_site_occupancy
Tb1 0.242 0.242 0.242 1
Ga1 0.061 0.439 0.561 1
Ge1 0.000 0.250 0.991 1
```